# PBE BeNbAuO2, optimized geometry
# - ρ: 8.9 Mg/m³
# - Formation energy from raw total energies: -24.79 kJ/mol of atoms
# - Magnetization: 0.0 μB/f.u.
data_BeNbAuO2
_chemical_formula_sum 'Be1 Nb1 Au1 O2'
_symmetry_space_group_name_H-M 'P 1'
_symmetry_Int_Tables_number 1
_cell_length_a 3.737
_cell_length_b 3.737
_cell_length_c 4.396
_cell_angle_alpha 90.00
_cell_angle_beta 90.00
_cell_angle_gamma 90.00
loop_
_symmetry_equiv_pos_as_xyz
'x,y,z'
loop_
_atom_site_label
_atom_site_type_symbol
_atom_site_fract_x
_atom_site_fract_y
_atom_site_fract_z
Be1 Be 0.000 0.000 0.000
Nb1 Nb 0.500 0.500 0.500
Au1 Au 0.000 0.000 0.500
O1 O 0.000 0.500 0.000
O2 O 0.500 0.000 0.000

---

# PBE MgGa2Bi2, optimized geometry
# - ρ: 7.1 Mg/m³
# - Magnetization: 0.0 μB/f.u.
# - Energy relative to the lowest polymorph listed for this composition: 0.0645 eV per atom
# - Formation enthalpy at 0 K: 96 meV per atom
data_MgGa2Bi2
_chemical_formula_sum 'Mg2 Ga4 Bi4'
_symmetry_space_group_name_H-M 'P 1'
_symmetry_Int_Tables_number 1
_cell_length_a 8.195
_cell_length_b 8.195
_cell_length_c 4.025
_cell_angle_alpha 90.00
_cell_angle_beta 90.00
_cell_angle_gamma 90.00
loop_
_symmetry_equiv_pos_as_xyz
'x,y,z'
loop_
_atom_site_label
_atom_site_type_symbol
_atom_site_fract_x
_atom_site_fract_y
_atom_site_fract_z
Mg1 Mg 0.000 0.000 0.000
Mg2 Mg 0.500 0.500 0.000
Ga1 Ga 0.131 0.369 0.500
Ga2 Ga 0.369 0.869 0.500
Ga3 Ga 0.631 0.131 0.500
Ga4 Ga 0.869 0.631 0.500
Bi1 Bi 0.163 0.663 0.000
Bi2 Bi 0.337 0.163 0.000
Bi3 Bi 0.663 0.837 0.000
Bi4 Bi 0.837 0.337 0.000

---

# PBE Nd3Ti3Se2O8, optimized geometry
# - ρ: 5.8 Mg/m³
# - Formation energy from raw total energies: -284.11 kJ/mol of atoms
# - Magnetization: 0.0 μB/f.u.
data_Nd3Ti3Se2O8
_chemical_formula_sum 'Nd6 Ti6 Se4 O16'
_symmetry_space_group_name_H-M 'P 1'
_symmetry_Int_Tables_number 1
_cell_length_a 9.882
_cell_length_b 3.962
_cell_length_c 13.594
_cell_angle_alpha 90.00
_cell_angle_beta 110.98
_cell_angle_gamma 90.00
loop_
_symmetry_equiv_pos_as_xyz
'x,y,z'
loop_
_atom_site_label
_atom_site_type_symbol
_atom_site_fract_x
_atom_site_fract_y
_atom_site_fract_z
Nd1 Nd 0.110 0.250 0.163
Nd2 Nd 0.176 0.250 0.586
Nd3 Nd 0.331 0.250 0.916
Nd4 Nd 0.669 0.750 0.084
Nd5 Nd 0.824 0.750 0.414
Nd6 Nd 0.890 0.750 0.837
Ti1 Ti 0.222 0.750 0.401
Ti2 Ti 0.448 0.750 0.767
Ti3 Ti 0.449 0.250 0.407
Ti4 Ti 0.551 0.750 0.593
Ti5 Ti 0.552 0.250 0.233
Ti6 Ti 0.778 0.250 0.599
Se1 Se 0.139 0.750 0.747
Se2 Se 0.178 0.750 0.018
Se3 Se 0.822 0.250 0.982
Se4 Se 0.861 0.250 0.253
O1 O 0.085 0.750 0.470
O2 O 0.139 0.750 0.259
O3 O 0.252 0.250 0.427
O4 O 0.360 0.750 0.609
O5 O 0.377 0.250 0.254
O6 O 0.406 0.250 0.764
O7 O 0.439 0.750 0.429
O8 O 0.473 0.750 0.915
O9 O 0.527 0.250 0.085
O10 O 0.561 0.250 0.571
O11 O 0.594 0.750 0.236
O12 O 0.623 0.750 0.746
O13 O 0.640 0.250 0.391
O14 O 0.748 0.750 0.573
O15 O 0.861 0.250 0.741
O16 O 0.915 0.250 0.530

---

# PBE SrTaSbO6, optimized geometry
# - ρ: 6.0 Mg/m³
# - Formation energy from raw total energies: -234.59 kJ/mol of atoms
# - Magnetization: 0.0 μB/f.u.
data_SrTaSbO6
_chemical_formula_sum 'Sr2 Ta2 Sb2 O12'
_symmetry_space_group_name_H-M 'P 1'
_symmetry_Int_Tables_number 1
_cell_length_a 5.383
_cell_length_b 5.383
_cell_length_c 10.781
_cell_angle_alpha 90.00
_cell_angle_beta 90.00
_cell_angle_gamma 120.00
loop_
_symmetry_equiv_pos_as_xyz
'x,y,z'
loop_
_atom_site_label
_atom_site_type_symbol
_atom_site_fract_x
_atom_site_fract_y
_atom_site_fract_z
Sr1 Sr 0.000 0.000 0.000
Sr2 Sr 0.000 0.000 0.500
Ta1 Ta 0.333 0.667 0.250
Ta2 Ta 0.667 0.333 0.750
Sb1 Sb 0.333 0.667 0.750
Sb2 Sb 0.667 0.333 0.250
O1 O 0.000 0.381 0.147
O2 O 0.000 0.381 0.647
O3 O 0.000 0.619 0.353
O4 O 0.000 0.619 0.853
O5 O 0.381 0.000 0.147
O6 O 0.381 0.000 0.647
O7 O 0.381 0.381 0.353
O8 O 0.381 0.381 0.853
O9 O 0.619 0.000 0.353
O10 O 0.619 0.000 0.853
O11 O 0.619 0.619 0.147
O12 O 0.619 0.619 0.647

---

# PBE LaPbI2N, optimized geometry
# - ρ: 6.1 Mg/m³
# - Formation energy from raw total energies: 20.75 kJ/mol of atoms
# - Magnetization: 0.0 μB/f.u.
# - Energy relative to the lowest polymorph listed for this composition: 0.5817 eV per atom
data_LaPbI2N
_chemical_formula_sum 'La1 Pb1 I2 N1'
_symmetry_space_group_name_H-M 'P 1'
_symmetry_Int_Tables_number 1
_cell_length_a 6.349
_cell_length_b 6.349
_cell_length_c 4.167
_cell_angle_alpha 90.00
_cell_angle_beta 90.00
_cell_angle_gamma 90.00
loop_
_symmetry_equiv_pos_as_xyz
'x,y,z'
loop_
_atom_site_label
_atom_site_type_symbol
_atom_site_fract_x
_atom_site_fract_y
_atom_site_fract_z
La1 La 0.000 0.000 0.000
Pb1 Pb 0.500 0.500 0.500
I1 I 0.000 0.500 0.500
I2 I 0.500 0.000 0.500
N1 N 0.500 0.500 0.000

---

# PBE Pr2YHg, optimized geometry
# - ρ: 7.6 Mg/m³
# - Magnetization: 0.0 μB/f.u.
# - Energy relative to the lowest polymorph listed for this composition: 0.0058 eV per atom
# - Formation enthalpy at 0 K: -233 meV per atom
data_Pr2YHg
_chemical_formula_sum 'Pr8 Y4 Hg4'
_symmetry_space_group_name_H-M 'P 1'
_symmetry_Int_Tables_number 1
_cell_length_a 3.765
_cell_length_b 12.474
_cell_length_c 10.679
_cell_angle_alpha 90.00
_cell_angle_beta 90.00
_cell_angle_gamma 90.00
loop_
_symmetry_equiv_pos_as_xyz
'x,y,z'
loop_
_atom_site_label
_atom_site_type_symbol
_atom_site_fract_x
_atom_site_fract_y
_atom_site_fract_z
Pr1 Pr 0.000 0.131 0.041
Pr2 Pr 0.000 0.131 0.459
Pr3 Pr 0.000 0.869 0.541
Pr4 Pr 0.000 0.869 0.959
Pr5 Pr 0.500 0.369 0.541
Pr6 Pr 0.500 0.369 0.959
Pr7 Pr 0.500 0.631 0.041
Pr8 Pr 0.500 0.631 0.459
Y1 Y 0.000 0.450 0.250
Y2 Y 0.000 0.550 0.750
Y3 Y 0.500 0.050 0.750
Y4 Y 0.500 0.950 0.250
Hg1 Hg 0.000 0.256 0.750
Hg2 Hg 0.000 0.744 0.250
Hg3 Hg 0.500 0.244 0.250
Hg4 Hg 0.500 0.756 0.750

---

# PBE AcInHPd2, optimized geometry
# - ρ: 9.5 Mg/m³
# - Total energy: -23.73 eV/f.u.
# - Magnetization: 0.0 μB/f.u.
data_AcInHPd2
_chemical_formula_sum 'Ac2 In2 H2 Pd4'
_symmetry_space_group_name_H-M 'P 1'
_symmetry_Int_Tables_number 1
_cell_length_a 6.322
_cell_length_b 6.322
_cell_length_c 7.655
_cell_angle_alpha 90.00
_cell_angle_beta 90.00
_cell_angle_gamma 140.62
loop_
_symmetry_equiv_pos_as_xyz
'x,y,z'
loop_
_atom_site_label
_atom_site_type_symbol
_atom_site_fract_x
_atom_site_fract_y
_atom_site_fract_z
Ac1 Ac 0.064 0.936 0.750
Ac2 Ac 0.936 0.064 0.250
In1 In 0.217 0.783 0.250
In2 In 0.783 0.217 0.750
H1 H 0.500 0.500 0.000
H2 H 0.500 0.500 0.500
Pd1 Pd 0.352 0.648 0.551
Pd2 Pd 0.352 0.648 0.949
Pd3 Pd 0.648 0.352 0.051
Pd4 Pd 0.648 0.352 0.449

---

# PBE Zn6CoIr, optimized geometry
# - ρ: 9.6 Mg/m³
# - Magnetization: 0.7 μB/f.u.
# - Energy relative to the lowest polymorph listed for this composition: 0.0546 eV per atom
# - Formation enthalpy at 0 K: -53 meV per atom
data_Zn6CoIr
_chemical_formula_sum 'Zn12 Co2 Ir2'
_symmetry_space_group_name_H-M 'P 1'
_symmetry_Int_Tables_number 1
_cell_length_a 5.474
_cell_length_b 7.628
_cell_length_c 5.948
_cell_angle_alpha 90.00
_cell_angle_beta 116.75
_cell_angle_gamma 90.00
loop_
_symmetry_equiv_pos_as_xyz
'x,y,z'
loop_
_atom_site_label
_atom_site_type_symbol
_atom_site_fract_x
_atom_site_fract_y
_atom_site_fract_z
Zn1 Zn 0.132 0.250 0.263
Zn2 Zn 0.132 0.750 0.263
Zn3 Zn 0.246 0.000 0.992
Zn4 Zn 0.254 0.500 0.008
Zn5 Zn 0.368 0.250 0.737
Zn6 Zn 0.368 0.750 0.737
Zn7 Zn 0.632 0.250 0.263
Zn8 Zn 0.632 0.750 0.263
Zn9 Zn 0.746 0.500 0.992
Zn10 Zn 0.754 0.000 0.008
Zn11 Zn 0.868 0.250 0.737
Zn12 Zn 0.868 0.750 0.737
Co1 Co 0.000 0.000 0.500
Co2 Co 0.500 0.500 0.500
Ir1 Ir 0.000 0.500 0.500
Ir2 Ir 0.500 0.000 0.500